(1)
Here is a geometry-optimized Te2AsPdI structure from Alexandria. Energies are from PBE-GGA.

The space group is P4/mmm (No. 123) and the conventional cell measures 5.275, 5.275 and 5.350 Å, with angles of 90.00, 90.00 and 90.00 degrees. Symmetry generates all atoms from Te at (0.000, 0.500, 0.000), As at (0.000, 0.000, 0.500), Pd at (0.500, 0.500, 0.000) and I at (0.500, 0.500, 0.500).

=====

(2)
Here is a geometry-optimized PmAsI structure from Alexandria. Energies are from PBE-GGA.

The space group is I4mm (No. 107) and the conventional cell measures 3.998, 3.998 and 11.238 Å, with angles of 90.00, 90.00 and 90.00 degrees. Symmetry generates all atoms from Pm at (0.000, 0.000, 0.000), As at (0.000, 0.000, 0.583) and I at (0.000, 0.000, 0.306).

=====

(3)
Here is a geometry-optimized Pm3As2I structure from Alexandria. Energies are from PBE-GGA.

The space group is P6_3/mmc (No. 194) and the conventional cell measures 4.2957, 4.2957 and 21.9048 Å, with angles of 90.00, 90.00 and 120.00 degrees. Symmetry generates all atoms from Pm at (0.0000, 0.0000, 0.0000), Pm at (0.3333, 0.6667, 0.1430), As at (0.3333, 0.6667, 0.5776) and I at (0.0000, 0.0000, 0.2500).

=====

(4)
Here is a geometry-optimized Pm2AsI structure from Alexandria. Energies are from PBE-GGA.

The space group is Fm-3m (No. 225) and the conventional cell measures 7.527, 7.527 and 7.527 Å, with angles of 90.00, 90.00 and 90.00 degrees. Symmetry generates all atoms from Pm at (0.250, 0.250, 0.250), As at (0.000, 0.000, 0.000) and I at (0.000, 0.000, 0.500).

=====

(5)
Here is a geometry-optimized Pm2AsI structure from Alexandria. Energies are from PBE-GGA.

The space group is R3m (No. 160, hexagonal axes) and the conventional cell measures 4.2168, 4.2168 and 23.2937 Å, with angles of 90.00, 90.00 and 120.00 degrees. Symmetry generates all atoms from Pm at (0.0000, 0.0000, 0.0000), Pm at (0.0000, 0.0000, 0.1994), As at (0.0000, 0.0000, 0.6011) and I at (0.0000, 0.0000, 0.4323).

=====

(6)
Here is a geometry-optimized PmAsI structure from Alexandria. Energies are from PBE-GGA.

The space group is P-1 (No. 2) and the conventional cell measures 5.163, 5.886 and 9.855 Å, with angles of 78.93, 75.37 and 89.98 degrees. Symmetry generates all atoms from Pm at (0.214, 0.222, 0.075), As at (0.218, 0.723, 0.067) and I at (0.068, 0.881, 0.366).

=====

E_tot: -0.111; -0.165; -0.205; -0.181; -0.192; -0.164 (hartree per atom)
Magnetic moment: 0.000; 0.000; 0.000; 0.003; 0.000; 0.000 (μB per formula unit)
Calculated volume: 148.8; 179.6; 350.1; 426.5; 358.7; 284.0 (Å³ per cell)